A plane-wave DFT calculation with SCAN was carried out for a PBEsol-optimized structure of KTiIn3.

Output
As for the density of states at the Fermi level: 3.89 states/eV/cell. The calculation puts the formation energy at 0.25 eV per formula unit.

Structure (POSCAR):
```
KTiIn3
1.0
5.368 0.000 0.000
0.000 5.368 0.000
0.000 0.000 5.368
K Ti In
1 1 3
Direct
0.000 0.000 0.000 K
0.500 0.500 0.500 Ti
0.000 0.500 0.500 In
0.500 0.000 0.500 In
0.500 0.500 0.000 In
```

A plane-wave DFT calculation with SCAN was carried out for a PBEsol-optimized structure of KTlIn.

Output
As for the density of states at the Fermi level: 2.94 states/eV/cell. The polymorph energy (0 for the lowest one) comes out at 0.074 eV per atom. The calculation puts the formation energy at -0.41 eV per formula unit.

Structure (POSCAR):
```
KTlIn
1.0
3.643 0.000 0.000
0.000 3.643 0.000
0.000 0.000 13.921
K Tl In
2 2 2
Direct
0.000 0.000 0.000 K
0.500 0.500 0.500 K
0.000 0.000 0.681 Tl
0.500 0.500 0.181 Tl
0.000 0.000 0.318 In
0.500 0.500 0.818 In
```

A plane-wave DFT calculation with SCAN was carried out for a PBEsol-optimized structure of K2Tl2In.

Output
As for the density of states at the Fermi level: 7.09 states/eV/cell. The calculation puts the formation energy at -0.73 eV per formula unit.

Structure (POSCAR):
```
K2Tl2In
1.0
7.870 0.000 0.000
0.000 7.870 0.000
0.000 0.000 5.658
K Tl In
4 4 2
Direct
0.177 0.323 0.000 K
0.323 0.823 0.000 K
0.677 0.177 0.000 K
0.823 0.677 0.000 K
0.136 0.636 0.500 Tl
0.364 0.136 0.500 Tl
0.636 0.864 0.500 Tl
0.864 0.364 0.500 Tl
0.000 0.000 0.500 In
0.500 0.500 0.500 In
```

A plane-wave DFT calculation with SCAN was carried out for a PBEsol-optimized structure of K2TlIn.

Output
As for the density of states at the Fermi level: 1.90 states/eV/cell. The polymorph energy (0 for the lowest one) comes out at 0.056 eV per atom. The calculation puts the formation energy at -0.62 eV per formula unit.

Structure (POSCAR):
```
K2TlIn
1.0
4.027 0.000 0.000
0.000 5.243 0.000
-1.990 0.000 6.980
K Tl In
2 1 1
Direct
0.000 0.000 0.000 K
0.322 0.500 0.651 K
0.610 0.500 0.222 Tl
0.712 0.000 0.428 In
```

A plane-wave DFT calculation with SCAN was carried out for a PBEsol-optimized structure of KTlIn3.

Output
As for the density of states at the Fermi level: 2.50 states/eV/cell. The calculation puts the formation energy at 1.16 eV per formula unit.

Structure (POSCAR):
```
KTlIn3
1.0
5.766 0.000 0.000
0.000 5.766 0.000
0.000 0.000 5.766
K Tl In
1 1 3
Direct
0.000 0.000 0.000 K
0.500 0.500 0.500 Tl
0.000 0.500 0.500 In
0.500 0.000 0.500 In
0.500 0.500 0.000 In
```

A plane-wave DFT calculation with SCAN was carried out for a PBEsol-optimized structure of K2TlIn.

Output
As for the density of states at the Fermi level: 2.80 states/eV/cell. The polymorph energy (0 for the lowest one) comes out at 0.192 eV per atom. The calculation puts the formation energy at -0.08 eV per formula unit.

Structure (POSCAR):
```
K2TlIn
1.0
4.660 0.000 0.000
0.000 5.219 0.000
0.000 0.000 5.626
K Tl In
2 1 1
Direct
0.000 0.000 0.000 K
0.500 0.500 0.000 K
0.000 0.500 0.500 Tl
0.500 0.000 0.500 In
```

formation energy of number 6 (K2TlIn)? -0.08 eV per formula unit

Which of these has the lowest formation energy? K2Tl2In

The highest formation energy belongs to which entry? KTlIn3